Ta3AlPb | Alexandria via LeMat-Bulk | PBE-GGA | optimized geometry; relative energy among the computed polymorphs = 1075 meV/atom; energy of formation from the pure elements = 2340 meV/atom; space-group type = Pm-3m (221)
1.0
5.087 0.000 0.000
0.000 5.087 0.000
0.000 0.000 5.087
Ta Al Pb
3 1 1
direct
0.000 0.000 0.500
0.000 0.500 0.000
0.500 0.000 0.000
0.500 0.500 0.500
0.000 0.000 0.000

Dy6IrPb | Alexandria via LeMat-Bulk | PBE-GGA | optimized geometry; energy of formation from the pure elements = -177 meV/atom; space-group type = P-1 (2)
1.0
6.879 0.000 0.000
-3.437 5.975 0.000
-3.422 -1.992 6.514
Dy Ir Pb
6 1 1
direct
0.043 0.082 0.260
0.298 0.716 0.259
0.321 0.538 0.741
0.679 0.462 0.259
0.702 0.284 0.741
0.957 0.918 0.740
0.500 0.500 0.500
0.500 0.000 0.000

Pr2CoNi | Alexandria via LeMat-Bulk | PBE-GGA | optimized geometry; relative energy among the computed polymorphs = 721 meV/atom; energy of formation from the pure elements = 557 meV/atom; space-group type = R-3m (166)
1.0
1.822 1.052 8.809
-1.822 1.052 8.809
0.000 -2.103 8.809
Pr Co Ni
2 1 1
direct
0.097 0.097 0.097
0.903 0.903 0.903
0.000 0.000 0.000
0.500 0.500 0.500

no.,total DFT energy (no corrections) (eV per formula unit),V (Å³ per atom)
1,-31.3,26.32
2,-41.6,33.47
3,-20.2,25.31